# TeMoP2O

A relaxed structure of TeMoP2O (PBE with a Hubbard U, the Alexandria database).

Structure (POSCAR):
```
TeMoP2O
1.0
-2.513 -2.372 -3.739
-0.443 -4.143 2.926
-3.398 1.365 1.418
P Mo Te O
2 1 1 1
direct
0.000 0.500 0.000 P
0.500 0.000 0.000 P
0.500 0.500 0.500 Mo
0.000 0.000 0.000 Te
0.000 0.000 0.500 O
```

Output
Space group: P4/mmm
E, eV/atom: -4.512
Excess energy over the best structure of this formula in the dataset, eV/atom: 0.653